Ac2CoP3Ir4 | PBE-GGA | optimized geometry

Summary:
The calculation puts the formation energy at -17.29 kcal/mol of atoms. The calculation puts the magnetic moment at 1.8 μB per cell. The value obtained for the energy is -7.450 eV/atom. The calculation puts the density of states at the Fermi level at 5.733 states/eV/f.u.

```
data_Ac2CoP3Ir4
_chemical_formula_sum 'Ac2 Co1 P3 Ir4'
_symmetry_space_group_name_H-M 'P -4 m 2'
_symmetry_Int_Tables_number 115
_symmetry_space_group_name_Hall 'P -4 -2'
_cell_length_a 4.225
_cell_length_b 4.225
_cell_length_c 10.030
_cell_angle_alpha 90.00
_cell_angle_beta 90.00
_cell_angle_gamma 90.00
loop_
_atom_site_label
_atom_site_type_symbol
_atom_site_fract_x
_atom_site_fract_y
_atom_site_fract_z
Ac1 Ac 0.000 0.500 0.243
Co1 Co 0.500 0.500 0.000
P1 P 0.000 0.000 0.000
P2 P 0.000 0.500 0.636
Ir1 Ir 0.000 0.000 0.500
Ir2 Ir 0.000 0.500 0.878
Ir3 Ir 0.500 0.500 0.500
```